Record 1
! CaLa2Fe (PBE, relaxed); values from VASP
&SYSTEM
  ibrav = 0, nat = 4, ntyp = 3
/
ATOMIC_SPECIES
La 138.91 La.upf
Ca 40.08 Ca.upf
Fe 55.84 Fe.upf
ATOMIC_POSITIONS crystal
La 0.750 0.750 0.750
Ca 0.000 0.000 0.000
Fe 0.500 0.500 0.500
La 0.250 0.250 0.250
CELL_PARAMETERS angstrom
0.000 3.779 3.779
3.779 0.000 3.779
3.779 3.779 0.000
! ρ: 5.8 g/cm³
! E_tot: -4.600 eV/atom
! Energy of formation from the pure elements: 185.3 kJ/mol of formula units

Record 2
! CaLaFe3 (PBE, relaxed); values from VASP
&SYSTEM
  ibrav = 0, nat = 5, ntyp = 3
/
ATOMIC_SPECIES
La 138.91 La.upf
Fe 55.84 Fe.upf
Ca 40.08 Ca.upf
ATOMIC_POSITIONS crystal
La 0.000 0.000 0.000
Fe 0.500 0.000 0.000
Fe 0.000 0.000 0.500
Fe 0.000 0.500 0.000
Ca 0.500 0.500 0.500
CELL_PARAMETERS angstrom
4.883 0.000 0.000
0.000 4.883 0.000
0.000 0.000 4.883
! ρ: 4.9 g/cm³
! E_tot: -5.228 eV/atom
! Energy of formation from the pure elements: 595.8 kJ/mol of formula units

Record 3
! CaLaFe (PBE, relaxed); values from VASP
&SYSTEM
  ibrav = 0, nat = 3, ntyp = 3
/
ATOMIC_SPECIES
Fe 55.84 Fe.upf
Ca 40.08 Ca.upf
La 138.91 La.upf
ATOMIC_POSITIONS crystal
Fe 0.325 0.325 0.000
Ca 0.965 0.965 0.000
La 0.710 0.710 0.000
CELL_PARAMETERS angstrom
-6.788 -1.400 1.467
-5.918 -1.751 -3.477
6.914 -0.862 1.277
! ρ: 4.7 g/cm³
! E_tot: -4.851 eV/atom
! Energy of formation from the pure elements: 81.0 kJ/mol of formula units

Record 4
! CaLaFe2 (PBE, relaxed); values from VASP
&SYSTEM
  ibrav = 0, nat = 4, ntyp = 3
/
ATOMIC_SPECIES
Fe 55.84 Fe.upf
La 138.91 La.upf
Ca 40.08 Ca.upf
ATOMIC_POSITIONS crystal
Fe 0.500 0.000 0.500
Fe 0.000 0.000 0.000
La 0.000 0.500 0.500
Ca 0.500 0.500 0.000
CELL_PARAMETERS angstrom
-1.003 -3.690 -6.892
3.759 -0.352 3.226
-0.429 -3.535 0.110
! ρ: 5.5 g/cm³
! E_tot: -5.487 eV/atom
! Energy of formation from the pure elements: 184.0 kJ/mol of formula units

Record 5
! CaLaFe (PBE, relaxed); values from VASP
&SYSTEM
  ibrav = 0, nat = 3, ntyp = 3
/
ATOMIC_SPECIES
Fe 55.84 Fe.upf
La 138.91 La.upf
Ca 40.08 Ca.upf
ATOMIC_POSITIONS crystal
Fe 0.500 0.500 0.500
La 0.250 0.250 0.250
Ca 0.000 0.000 0.000
CELL_PARAMETERS angstrom
4.932 0.000 0.000
2.466 4.271 0.000
2.466 1.424 4.027
! ρ: 4.6 g/cm³
! E_tot: -4.098 eV/atom
! Energy of formation from the pure elements: 299.0 kJ/mol of formula units

Record 6
! CaLaFe4 (PBE, relaxed); values from VASP
&SYSTEM
  ibrav = 0, nat = 6, ntyp = 3
/
ATOMIC_SPECIES
Fe 55.84 Fe.upf
La 138.91 La.upf
Ca 40.08 Ca.upf
ATOMIC_POSITIONS crystal
Fe 0.375 0.375 0.375
Fe 0.375 0.875 0.375
Fe 0.375 0.375 0.875
Fe 0.875 0.375 0.375
La 0.750 0.750 0.750
Ca 0.000 0.000 0.000
CELL_PARAMETERS angstrom
-0.612 3.491 3.855
-1.546 4.879 -1.107
-4.802 1.595 1.350
! ρ: 6.6 g/cm³
! E_tot: -6.626 eV/atom
! Energy of formation from the pure elements: 98.6 kJ/mol of formula units

Record 7
! CaLaFe (PBE, relaxed); values from VASP
&SYSTEM
  ibrav = 0, nat = 3, ntyp = 3
/
ATOMIC_SPECIES
Fe 55.84 Fe.upf
La 138.91 La.upf
Ca 40.08 Ca.upf
ATOMIC_POSITIONS crystal
Fe 0.250 0.250 0.250
La 0.000 0.000 0.000
Ca 0.500 0.500 0.500
CELL_PARAMETERS angstrom
-2.414 0.852 -4.204
-1.827 -3.763 -2.595
-4.867 -0.699 -0.228
! ρ: 4.6 g/cm³
! E_tot: -4.661 eV/atom
! Energy of formation from the pure elements: 135.8 kJ/mol of formula units

Record 8
! CaLa2Fe (PBE, relaxed); values from VASP
&SYSTEM
  ibrav = 0, nat = 4, ntyp = 3
/
ATOMIC_SPECIES
Fe 55.84 Fe.upf
La 138.91 La.upf
Ca 40.08 Ca.upf
ATOMIC_POSITIONS crystal
Fe 0.250 0.250 0.250
La 0.577 0.577 0.423
La 0.923 0.923 0.077
Ca 0.750 0.750 0.750
CELL_PARAMETERS angstrom
6.403 0.006 0.030
5.326 3.553 0.030
2.866 0.870 5.295
! ρ: 5.2 g/cm³
! E_tot: -4.927 eV/atom
! Energy of formation from the pure elements: 59.0 kJ/mol of formula units